# 1
Computed, not measured: an optimized crystal structure of KBaIn2Ni at the PBE level of DFT.

Cell: 5.252 5.252 5.719 Å, 90.00 90.00 90.00°
Space group P4/mmm (No. 123)
Symmetry-distinct sites (fractional):
K (0.000, 0.000, 0.000) (multiplicity 1)
Ba (0.500, 0.500, 0.000) (multiplicity 1)
In (0.000, 0.500, 0.500) (multiplicity 2)
Ni (0.500, 0.500, 0.500) (multiplicity 1)

# 2
Computed, not measured: an optimized crystal structure of KBa2InNi at the PBE level of DFT.

Cell: 6.176 6.176 5.199 Å, 90.00 90.00 90.00°
Space group P4/mmm (No. 123)
Symmetry-distinct sites (fractional):
K (0.000, 0.000, 0.000) (multiplicity 1)
Ba (0.000, 0.500, 0.500) (multiplicity 2)
In (0.500, 0.500, 0.000) (multiplicity 1)
Ni (0.500, 0.500, 0.500) (multiplicity 1)

# 3
Computed, not measured: an optimized crystal structure of KBaInO3 at the PBE level of DFT.

Cell: 6.293 12.363 5.876 Å, 90.00 103.86 90.00°
Space group C2/c (No. 15)
Symmetry-distinct sites (fractional):
K (0.000, 0.066, 0.250) (multiplicity 4)
Ba (0.000, 0.260, 0.750) (multiplicity 4)
In (0.000, 0.444, 0.250) (multiplicity 4)
O (0.000, 0.273, 0.250) (multiplicity 4)
O (0.197, 0.437, 0.985) (multiplicity 8)

no.,electronic total energy (eV/atom)
1,-2.947
2,-2.743
3,-5.248